This record from Alexandria describes a relaxed Tb6AuS4 crystal. The functional is PBE.

final energy: -131.31 eV per cell
symmetry: Cmcm, No. 63

a = 6.7822 Å, b = 6.7822 Å, c = 20.2500 Å
α = 90.00°, β = 90.00°, γ = 146.45°
Closest atoms and distances in Å follow each position.
Sites, in units of the cell vectors:
Tb1 0.0000 0.0000 0.0000  6 S 2.75-2.77
Tb2 0.0000 0.0000 0.5000  6 S 2.75-2.77
Tb3 0.1688 0.8312 0.7500  2 S 2.76, 2 Au 2.96
Tb4 0.2732 0.7268 0.0846  5 S 2.75-2.78
Tb5 0.2732 0.7268 0.4154  5 S 2.75-2.78
Tb6 0.4521 0.5479 0.6622  3 S 2.75-2.77, 2 Au 3.02
Tb7 0.4521 0.5479 0.8378  3 S 2.75-2.77, 2 Au 3.02
Tb8 0.5479 0.4521 0.1622  3 S 2.75-2.77, 2 Au 3.02
Tb9 0.5479 0.4521 0.3378  3 S 2.75-2.77, 2 Au 3.02
Tb10 0.7268 0.2732 0.5846  5 S 2.75-2.78
Tb11 0.7268 0.2732 0.9154  5 S 2.75-2.78
Tb12 0.8312 0.1688 0.2500  2 S 2.76, 2 Au 2.96
Au1 0.1600 0.8400 0.2500  6 Tb 2.96-3.02
Au2 0.8400 0.1600 0.7500  6 Tb 2.96-3.02
S1 0.0904 0.9096 0.6231  6 Tb 2.75-2.77
S2 0.0904 0.9096 0.8769  6 Tb 2.75-2.77
S3 0.3618 0.6382 0.5395  6 Tb 2.75-2.78
S4 0.3618 0.6382 0.9605  6 Tb 2.75-2.78
S5 0.6382 0.3618 0.0395  6 Tb 2.75-2.78
S6 0.6382 0.3618 0.4605  6 Tb 2.75-2.78
S7 0.9096 0.0904 0.1231  6 Tb 2.75-2.77
S8 0.9096 0.0904 0.3769  6 Tb 2.75-2.77

=====

This record from Alexandria describes a relaxed Tb3Au5S12 crystal. The functional is PBE.

final energy: -364.61 eV per cell
symmetry: Ia-3d, No. 230

a = 13.2632 Å, b = 13.2632 Å, c = 13.2632 Å
α = 109.47°, β = 109.47°, γ = 109.47°
Closest atoms and distances in Å follow each position.
Sites, in units of the cell vectors:
Tb1 0.1250 0.2500 0.3750  8 S 2.83-2.94
Tb2 0.1250 0.3750 0.7500  8 S 2.83-2.94
Tb3 0.2500 0.3750 0.1250  8 S 2.83-2.94
Tb4 0.2500 0.8750 0.6250  8 S 2.83-2.94
Tb5 0.3750 0.1250 0.2500  8 S 2.83-2.94
Tb6 0.3750 0.7500 0.1250  8 S 2.83-2.94
Tb7 0.6250 0.2500 0.8750  8 S 2.83-2.94
Tb8 0.6250 0.8750 0.7500  8 S 2.83-2.94
Tb9 0.7500 0.1250 0.3750  8 S 2.83-2.94
Tb10 0.7500 0.6250 0.8750  8 S 2.83-2.94
Tb11 0.8750 0.6250 0.2500  8 S 2.83-2.94
Tb12 0.8750 0.7500 0.6250  8 S 2.83-2.94
Au1 0.0000 0.0000 0.0000  6 S 2.49
Au2 0.0000 0.0000 0.5000  6 S 2.49
Au3 0.0000 0.5000 0.0000  6 S 2.49
Au4 0.0000 0.5000 0.5000  6 S 2.49
Au5 0.1250 0.7500 0.8750  4 S 2.42
Au6 0.1250 0.8750 0.2500  4 S 2.42
Au7 0.2500 0.1250 0.8750  4 S 2.42
Au8 0.2500 0.6250 0.3750  4 S 2.42
Au9 0.3750 0.2500 0.6250  4 S 2.42
Au10 0.3750 0.6250 0.7500  4 S 2.42
Au11 0.5000 0.0000 0.0000  6 S 2.49
Au12 0.5000 0.0000 0.5000  6 S 2.49
Au13 0.5000 0.5000 0.0000  6 S 2.49
Au14 0.5000 0.5000 0.5000  6 S 2.49
Au15 0.6250 0.3750 0.2500  4 S 2.42
Au16 0.6250 0.7500 0.3750  4 S 2.42
Au17 0.7500 0.3750 0.6250  4 S 2.42
Au18 0.7500 0.8750 0.1250  4 S 2.42
Au19 0.8750 0.1250 0.7500  4 S 2.42
Au20 0.8750 0.2500 0.1250  4 S 2.42
S1 0.0423 0.2105 0.1317  2 Au 2.42-2.49
S2 0.0423 0.3318 0.9106  2 Au 2.42-2.49
S3 0.0788 0.7105 0.6682  2 Au 2.42-2.49
S4 0.0788 0.8683 0.4106  2 Au 2.42-2.49
S5 0.0894 0.6317 0.4212  2 Au 2.42-2.49
S6 0.0894 0.9577 0.6682  2 Au 2.42-2.49
S7 0.1317 0.0423 0.2105  2 Au 2.42-2.49
S8 0.1317 0.5894 0.9212  2 Au 2.42-2.49
S9 0.1682 0.2105 0.5788  2 Au 2.42-2.49
S10 0.1682 0.4577 0.5894  2 Au 2.42-2.49
S11 0.2105 0.1317 0.0423  2 Au 2.42-2.49
S12 0.2105 0.5788 0.1682  2 Au 2.42-2.49
S13 0.2895 0.3318 0.9212  2 Au 2.42-2.49
S14 0.2895 0.4577 0.3683  2 Au 2.42-2.49
S15 0.3318 0.9106 0.0423  2 Au 2.42-2.49
S16 0.3318 0.9212 0.2895  2 Au 2.42-2.49
S17 0.3683 0.2895 0.4577  2 Au 2.42-2.49
S18 0.3683 0.5788 0.9106  2 Au 2.42-2.49
S19 0.4106 0.0788 0.8683  2 Au 2.42-2.49
S20 0.4106 0.8318 0.5423  2 Au 2.42-2.49
S21 0.4212 0.0894 0.6317  2 Au 2.42-2.49
S22 0.4212 0.8318 0.7895  2 Au 2.42-2.49
S23 0.4577 0.3683 0.2895  2 Au 2.42-2.49
S24 0.4577 0.5894 0.1682  2 Au 2.42-2.49
S25 0.5423 0.4106 0.8318  2 Au 2.42-2.49
S26 0.5423 0.6317 0.7105  2 Au 2.42-2.49
S27 0.5788 0.1682 0.2105  2 Au 2.42-2.49
S28 0.5788 0.9106 0.3683  2 Au 2.42-2.49
S29 0.5894 0.1682 0.4577  2 Au 2.42-2.49
S30 0.5894 0.9212 0.1317  2 Au 2.42-2.49
S31 0.6317 0.4212 0.0894  2 Au 2.42-2.49
S32 0.6317 0.7105 0.5423  2 Au 2.42-2.49
S33 0.6682 0.0788 0.7105  2 Au 2.42-2.49
S34 0.6682 0.0894 0.9577  2 Au 2.42-2.49
S35 0.7105 0.5423 0.6317  2 Au 2.42-2.49
S36 0.7105 0.6682 0.0788  2 Au 2.42-2.49
S37 0.7895 0.4212 0.8318  2 Au 2.42-2.49
S38 0.7895 0.8683 0.9577  2 Au 2.42-2.49
S39 0.8318 0.5423 0.4106  2 Au 2.42-2.49
S40 0.8318 0.7895 0.4212  2 Au 2.42-2.49
S41 0.8683 0.4106 0.0788  2 Au 2.42-2.49
S42 0.8683 0.9577 0.7895  2 Au 2.42-2.49
S43 0.9106 0.0423 0.3318  2 Au 2.42-2.49
S44 0.9106 0.3683 0.5788  2 Au 2.42-2.49
S45 0.9212 0.1317 0.5894  2 Au 2.42-2.49
S46 0.9212 0.2895 0.3318  2 Au 2.42-2.49
S47 0.9577 0.6682 0.0894  2 Au 2.42-2.49
S48 0.9577 0.7895 0.8683  2 Au 2.42-2.49

=====

This record from Alexandria describes a relaxed Tb4AuS5 crystal. The functional is PBE.

final energy: -59.33 eV per cell
symmetry: C2/m, No. 12

a = 8.8582 Å, b = 8.8582 Å, c = 8.6788 Å
α = 107.47°, β = 107.47°, γ = 25.64°
Closest atoms and distances in Å follow each position.
Sites, in units of the cell vectors:
Tb1 0.0037 0.0037 0.2822  4 S 2.64-2.74
Tb2 0.3143 0.3143 0.8782  5 S 2.67-2.80
Tb3 0.6857 0.6857 0.1218  5 S 2.67-2.80
Tb4 0.9963 0.9963 0.7178  4 S 2.64-2.74
Au1 0.5000 0.5000 0.0000  6 Tb 3.05-3.13
S1 0.1593 0.1593 0.8813  4 Tb 2.69-2.80
S2 0.1600 0.1600 0.3093  3 Tb 2.64-2.67
S3 0.5000 0.5000 0.5000  4 Tb 2.74
S4 0.8400 0.8400 0.6908  3 Tb 2.64-2.67
S5 0.8407 0.8407 0.1187  4 Tb 2.69-2.80

=====

This record from Alexandria describes a relaxed Tb6Te3AuS2 crystal. The functional is PBE.

final energy: -66.44 eV per cell
symmetry: C2/m, No. 12

a = 7.2147 Å, b = 7.2147 Å, c = 7.4068 Å
α = 99.35°, β = 99.35°, γ = 119.88°
Closest atoms and distances in Å follow each position.
Sites, in units of the cell vectors:
Tb1 0.0869 0.4278 0.7811  2 S 2.83-2.84, 1 Au 2.90, 3 Te 3.08-3.13
Tb2 0.2309 0.2309 0.2166  2 S 2.82, 1 Au 2.89, 3 Te 3.08-3.13
Tb3 0.4278 0.0869 0.7811  2 S 2.83-2.84, 1 Au 2.90, 3 Te 3.08-3.13
Tb4 0.5722 0.9131 0.2189  2 S 2.83-2.84, 1 Au 2.90, 3 Te 3.08-3.13
Tb5 0.7691 0.7691 0.7834  2 S 2.82, 1 Au 2.89, 3 Te 3.08-3.13
Tb6 0.9131 0.5722 0.2189  2 S 2.83-2.84, 1 Au 2.90, 3 Te 3.08-3.13
Te1 0.0000 0.0000 0.5000  6 Tb 3.08-3.13
Te2 0.3347 0.6653 0.5000  6 Tb 3.08-3.13
Te3 0.6653 0.3347 0.5000  6 Tb 3.08-3.13
Au1 0.5000 0.5000 0.0000  6 Tb 2.89-2.90
S1 0.1663 0.8337 0.0000  6 Tb 2.82-2.84
S2 0.8337 0.1663 0.0000  6 Tb 2.82-2.84

=====

This record from Alexandria describes a relaxed Tb4Te2AuS crystal. The functional is PBE.

final energy: -43.10 eV per cell
symmetry: P2/m, No. 10

a = 7.4080 Å, b = 4.1134 Å, c = 7.4459 Å
α = 90.00°, β = 108.37°, γ = 90.00°
Closest atoms and distances in Å follow each position.
Sites, in units of the cell vectors:
Tb1 0.2311 0.0000 0.2180  2 S 2.84, 1 Au 2.94, 3 Te 3.10-3.16
Tb2 0.2579 0.5000 0.7772  2 Au 2.88, 1 S 2.90, 3 Te 3.11-3.13
Tb3 0.7421 0.5000 0.2228  2 Au 2.88, 1 S 2.90, 3 Te 3.11-3.13
Tb4 0.7689 0.0000 0.7820  2 S 2.84, 1 Au 2.94, 3 Te 3.10-3.16
Te1 0.0000 0.0000 0.5000  6 Tb 3.10-3.11
Te2 0.5000 0.5000 0.5000  6 Tb 3.13-3.16
Au1 0.5000 0.0000 0.0000  6 Tb 2.88-2.94
S1 0.0000 0.5000 0.0000  6 Tb 2.84-2.90

=====

This record from Alexandria describes a relaxed TbTlAuS2 crystal. The functional is PBE.

final energy: -45.74 eV per cell
symmetry: P2/c, No. 13

a = 6.7200 Å, b = 5.5634 Å, c = 7.5216 Å
α = 90.00°, β = 104.76°, γ = 90.00°
Closest atoms and distances in Å follow each position.
Sites, in units of the cell vectors:
Tb1 0.0000 0.0038 0.2500  4 S 2.69
Tb2 0.0000 0.9962 0.7500  4 S 2.69
Tl1 0.5000 0.3123 0.2500  6 S 3.27-3.39, 2 Au 3.56
Tl2 0.5000 0.6877 0.7500  6 S 3.27-3.39, 2 Au 3.56
Au1 0.0000 0.5000 0.0000  2 S 2.39
Au2 0.0000 0.5000 0.5000  2 S 2.39
S1 0.2505 0.1844 0.5592  1 Au 2.39
S2 0.2505 0.8156 0.0592  1 Au 2.39
S3 0.7495 0.1844 0.9408  1 Au 2.39
S4 0.7495 0.8156 0.4408  1 Au 2.39

=====

This record from Alexandria describes a relaxed TcAu3S crystal. The functional is PBE.

relative energy among the computed polymorphs: 0 meV/atom
symmetry: Pm-3m, No. 221

a = 4.7188 Å, b = 4.7188 Å, c = 4.7188 Å
α = 90.00°, β = 90.00°, γ = 90.00°
Closest atoms and distances in Å follow each position.
Sites, in units of the cell vectors:
Tc1 0.0000 0.0000 0.0000  12 Au 3.34
Au1 0.0000 0.5000 0.5000  2 S 2.36
Au2 0.5000 0.0000 0.5000  2 S 2.36
Au3 0.5000 0.5000 0.0000  2 S 2.36
S1 0.5000 0.5000 0.5000  6 Au 2.36

=====

This record from Alexandria describes a relaxed Tc3AuS crystal. The functional is PBE.

relative energy among the computed polymorphs: 1840 meV/atom
symmetry: Pm-3m, No. 221

a = 5.0907 Å, b = 5.0907 Å, c = 5.0907 Å
α = 90.00°, β = 90.00°, γ = 90.00°
Closest atoms and distances in Å follow each position.
Sites, in units of the cell vectors:
Tc1 0.0000 0.0000 0.5000  2 Au 2.55
Tc2 0.0000 0.5000 0.0000  2 Au 2.55
Tc3 0.5000 0.0000 0.0000  2 Au 2.55
Au1 0.0000 0.0000 0.0000  6 Tc 2.55
S1 0.5000 0.5000 0.5000  12 Tc 3.60

=====

This record from Alexandria describes a relaxed TcAuS3 crystal. The functional is PBE.

relative energy among the computed polymorphs: 0 meV/atom
symmetry: Pm-3m, No. 221

a = 4.6305 Å, b = 4.6305 Å, c = 4.6305 Å
α = 90.00°, β = 90.00°, γ = 90.00°
Closest atoms and distances in Å follow each position.
Sites, in units of the cell vectors:
Tc1 0.0000 0.0000 0.0000  6 S 2.32
Au1 0.5000 0.5000 0.5000  12 S 3.27
S1 0.0000 0.0000 0.5000  2 Tc 2.32
S2 0.0000 0.5000 0.0000  2 Tc 2.32
S3 0.5000 0.0000 0.0000  2 Tc 2.32

=====

This record from Alexandria describes a relaxed TcAuS crystal. The functional is PBE.

final energy: -36.83 eV per cell
symmetry: P-1, No. 2

a = 3.0002 Å, b = 3.0004 Å, c = 13.9534 Å
α = 89.89°, β = 89.68°, γ = 60.00°
Closest atoms and distances in Å follow each position.
Sites, in units of the cell vectors:
Tc1 0.0076 0.4991 0.2472  3 S 2.30
Tc2 0.9924 0.5009 0.7528  3 S 2.30
Au1 0.3307 0.8332 0.5849  3 Tc 2.91, 9 Au 2.93-3.00
Au2 0.6693 0.1668 0.4151  3 Tc 2.91, 9 Au 2.93-3.00
S1 0.3439 0.8318 0.1391  3 Tc 2.30
S2 0.6561 0.1682 0.8609  3 Tc 2.30

=====

| no. | DOS at the Fermi energy (states/eV/cell) |
| --- | --- |
| 1 | 13.81 |
| 2 | 49.38 |
| 3 | 3.49 |
| 4 | 5.81 |
| 5 | 5.27 |
| 6 | 3.11 |
| 7 | 4.70 |
| 8 | 1.44 |
| 9 | 4.83 |
| 10 | 1.90 |